VASP calculation (GGA-PBE) on crystalline HfAg2Hg at its relaxed geometry.

Unit cell a=3.499 b=3.499 c=6.516 alpha=90.00 beta=90.00 gamma=90.00
Sites, in units of the cell vectors:
Hf (0.500, 0.500, 0.000)
Hg (0.500, 0.500, 0.500)
Ag (0.000, 0.000, 0.760)
Ag (0.000, 0.000, 0.240)

Results
Magnetic moment ... 0.409 μB per formula unit
VASP energy ... -15.6 eV/cell
DFT formation energy ... 0.081 eV per atom